Be2GeSe2: optimized geometry, PBE.

Values from the calculation:
* space-group type: I4/mmm (139)
* V: 84 Å³/f.u.
* formation energy from raw total energies: 1.16 eV per formula unit
* raw total energy: -3.58 eV per atom
* energy above the most stable polymorph in this dataset: 0.000 eV/f.u.

a = 4.677 Å, b = 4.677 Å, c = 5.063 Å
α = 62.49°, β = 62.49°, γ = 90.00°
Element x y z (fractional)
Be1 0.655 0.655 0.690
Se1 0.750 0.250 0.500
Se2 0.250 0.750 0.500
Be2 0.345 0.345 0.310
Ge1 0.000 0.000 0.000

***

Be2GeSe2: optimized geometry, PBE.

Values from the calculation:
* space-group type: P4/mbm (127)
* V: 77 Å³/f.u.
* formation energy from raw total energies: 1.33 eV per formula unit
* raw total energy: -3.54 eV per atom
* energy above the most stable polymorph in this dataset: 0.173 eV/f.u.

a = 6.795 Å, b = 6.795 Å, c = 3.348 Å
α = 90.00°, β = 90.00°, γ = 90.00°
Element x y z (fractional)
Se1 0.171 0.671 0.500
Ge1 0.500 0.500 0.000
Be1 0.621 0.121 0.000
Se2 0.829 0.329 0.500
Be2 0.121 0.379 0.000
Be3 0.879 0.621 0.000
Be4 0.379 0.879 0.000
Se3 0.329 0.171 0.500
Ge2 0.000 0.000 0.000
Se4 0.671 0.829 0.500

***

BeGeSe: optimized geometry, PBE.

Values from the calculation:
* space-group type: Cm (8)
* V: 63 Å³/f.u.
* formation energy from raw total energies: -0.76 eV per formula unit
* raw total energy: -4.20 eV per atom
* energy above the most stable polymorph in this dataset: 0.000 eV/f.u.

a = 6.323 Å, b = 3.802 Å, c = 10.849 Å
α = 90.00°, β = 104.05°, γ = 90.00°
Element x y z (fractional)
Ge1 0.240 0.000 0.083
Ge2 0.240 0.500 0.583
Be1 0.438 0.000 0.292
Ge3 0.994 0.500 0.068
Be2 0.438 0.500 0.792
Be3 0.935 0.500 0.268
Be4 0.935 0.000 0.768
Se1 0.304 0.000 0.863
Ge4 0.994 0.000 0.568
Se2 0.304 0.500 0.363
Se3 0.798 0.500 0.833
Se4 0.798 0.000 0.333

***

BeGeSe: optimized geometry, PBE.

Values from the calculation:
* space-group type: P1 (1)
* V: 63 Å³/f.u.
* formation energy from raw total energies: -0.52 eV per formula unit
* raw total energy: -4.12 eV per atom
* energy above the most stable polymorph in this dataset: 0.233 eV/f.u.

a = 3.790 Å, b = 5.850 Å, c = 6.205 Å
α = 105.67°, β = 90.53°, γ = 107.91°
Element x y z (fractional)
Se1 0.723 0.421 0.438
Ge1 0.551 0.927 0.307
Be1 0.156 0.284 0.247
Ge2 0.017 0.852 0.027
Se2 0.165 0.262 0.886
Be2 0.746 0.439 0.804

***

BeGeSe: optimized geometry, PBE.

Values from the calculation:
* space-group type: C2/m (12)
* V: 64 Å³/f.u.
* formation energy from raw total energies: -0.17 eV per formula unit
* raw total energy: -4.00 eV per atom
* energy above the most stable polymorph in this dataset: 0.588 eV/f.u.

a = 6.046 Å, b = 3.777 Å, c = 7.271 Å
α = 105.06°, β = 125.56°, γ = 90.00°
Element x y z (fractional)
Se1 0.069 0.375 0.751
Se2 0.931 0.625 0.249
Be1 0.149 0.238 0.476
Be2 0.851 0.762 0.524
Ge1 0.489 0.816 0.631
Ge2 0.511 0.184 0.369

***

Be3GeSe: optimized geometry, PBE.

Values from the calculation:
* space-group type: Pm-3m (221)
* V: 81 Å³/f.u.
* formation energy from raw total energies: 3.08 eV per formula unit
* raw total energy: -3.24 eV per atom
* energy above the most stable polymorph in this dataset: 0.000 eV/f.u.

a = 4.321 Å, b = 4.321 Å, c = 4.321 Å
α = 90.00°, β = 90.00°, γ = 90.00°
Element x y z (fractional)
Ge1 0.000 0.000 0.000
Be1 0.000 0.000 0.500
Be2 0.000 0.500 0.000
Se1 0.500 0.500 0.500
Be3 0.500 0.000 0.000